# LiMg2Cd | Alexandria via LeMat-Bulk | PBE | relaxed
# Symmetry   Cm
# M_tot   0.00 μB per atom
# Crystal system   monoclinic
# Fermi-level density of states   1.29 states/eV per cell
# Calculated volume   20.5 Å³ per atom
# Energy of formation   -0.124 eV per atom
data_LiMg2Cd
_chemical_formula_sum 'Li1 Mg2 Cd1'
_cell_length_a 5.520
_cell_length_b 5.520
_cell_length_c 4.650
_cell_angle_alpha 65.17
_cell_angle_beta 65.17
_cell_angle_gamma 40.41
_symmetry_space_group_name_H-M 'P 1'
_symmetry_Int_Tables_number 1
_symmetry_space_group_name_Hall 'P 1'
loop_
_atom_site_label
_atom_site_fract_x
_atom_site_fract_y
_atom_site_fract_z
Li1 0.242 0.242 0.258
Mg1 0.993 0.993 0.008
Mg2 0.755 0.755 0.744
Cd1 0.510 0.510 0.490

***

# LiReSb2 | Alexandria via LeMat-Bulk | PBE | relaxed
# Symmetry   P4/mmm
# M_tot   0.00 μB per atom
# Crystal system   tetragonal
# Formation energy without anion corrections   333 meV/atom
# Fermi-level density of states   1.93 states/eV per cell
# Polymorph energy (0 for the lowest one)   297 meV per atom
# Calculated volume   18.6 Å³ per atom
data_LiReSb2
_chemical_formula_sum 'Li1 Re1 Sb2'
_cell_length_a 3.402
_cell_length_b 4.677
_cell_length_c 4.677
_cell_angle_alpha 90.00
_cell_angle_beta 90.00
_cell_angle_gamma 90.00
_symmetry_space_group_name_H-M 'P 1'
_symmetry_Int_Tables_number 1
_symmetry_space_group_name_Hall 'P 1'
loop_
_atom_site_label
_atom_site_fract_x
_atom_site_fract_y
_atom_site_fract_z
Sb1 0.000 0.500 0.500
Sb2 0.000 0.000 0.000
Re1 0.500 0.000 0.500
Li1 0.500 0.500 0.000

***

# FeRe4 | Alexandria via LeMat-Bulk | PBE | relaxed
# Symmetry   Pm-3m
# M_tot   0.09 μB per atom
# Crystal system   cubic
# Fermi-level density of states   8.99 states/eV per cell
# Polymorph energy (0 for the lowest one)   1584 meV per atom
# Calculated volume   16.4 Å³ per atom
# Energy of formation   1.666 eV per atom
data_FeRe4
_chemical_formula_sum 'Fe1 Re4'
_cell_length_a 4.348
_cell_length_b 4.348
_cell_length_c 4.348
_cell_angle_alpha 90.00
_cell_angle_beta 90.00
_cell_angle_gamma 90.00
_symmetry_space_group_name_H-M 'P 1'
_symmetry_Int_Tables_number 1
_symmetry_space_group_name_Hall 'P 1'
loop_
_atom_site_label
_atom_site_fract_x
_atom_site_fract_y
_atom_site_fract_z
Re1 0.500 0.500 0.000
Re2 0.500 0.000 0.500
Re3 0.000 0.000 0.000
Re4 0.000 0.500 0.500
Fe1 0.500 0.500 0.500

***

# SrTl2Fe | Alexandria via LeMat-Bulk | PBE | relaxed
# Symmetry   P2/m
# M_tot   0.69 μB per atom
# Crystal system   monoclinic
# Fermi-level density of states   3.41 states/eV per cell
# Calculated volume   27.4 Å³ per atom
# Energy of formation   0.222 eV per atom
data_SrTl2Fe
_chemical_formula_sum 'Sr1 Tl2 Fe1'
_cell_length_a 4.405
_cell_length_b 3.777
_cell_length_c 6.844
_cell_angle_alpha 74.17
_cell_angle_beta 90.00
_cell_angle_gamma 90.00
_symmetry_space_group_name_H-M 'P 1'
_symmetry_Int_Tables_number 1
_symmetry_space_group_name_Hall 'P 1'
loop_
_atom_site_label
_atom_site_fract_x
_atom_site_fract_y
_atom_site_fract_z
Tl1 0.000 0.086 0.045
Tl2 0.000 0.414 0.455
Fe1 0.500 0.250 0.250
Sr1 0.500 0.750 0.750